Tm2Hf2Te7, relaxed, DFT PBE; final energy = -5.48 eV/atom; ΔE_f (raw) = -9.44 eV/f.u.
1.0
4.419 -6.594 0.000
4.419 6.594 0.000
-0.861 0.000 7.466
Tm Hf Te
2 2 7
Direct
0.187 0.813 0.000
0.813 0.187 0.000
0.220 0.220 0.613
0.780 0.780 0.387
0.076 0.453 0.774
0.084 0.084 0.251
0.453 0.076 0.774
0.500 0.500 0.500
0.547 0.924 0.226
0.916 0.916 0.749
0.924 0.547 0.226